P.
Crystalline LaMoO2 at its relaxed geometry. Source: Alexandria, functional PBE+U.

The structure in extended XYZ format:
```
4
Lattice="0.921 2.472 6.322 4.065 2.728 4.792 1.620 5.169 4.194" Properties=species:S:1:pos:R:3 pbc="T T T"
Mo 3.303 5.184 7.654
O 5.815 9.128 13.476
O 0.790 1.241 1.832
La 0.000 0.000 0.000
```

Calculated values
M_tot = 2.82 μB/cell
density of states at the Fermi level = 1.8 states/eV/f.u.



Q.
Crystalline LaMoO2 at its relaxed geometry. Source: Alexandria, functional PBE+U.

The structure in extended XYZ format:
```
4
Lattice="0.000 3.009 3.009 3.009 0.000 3.009 3.009 3.009 0.000" Properties=species:S:1:pos:R:3 pbc="T T T"
Mo 0.000 0.000 0.000
O 1.505 1.505 1.505
O 4.514 4.514 4.514
La 3.009 3.009 3.009
```

Calculated values
M_tot = 1.00 μB/cell
density of states at the Fermi level = 1.6 states/eV/f.u.



R.
Crystalline LaMoO2 at its relaxed geometry. Source: Alexandria, functional PBE+U.

The structure in extended XYZ format:
```
4
Lattice="0.007 6.571 0.748 1.129 5.092 4.067 3.603 5.416 1.196" Properties=species:S:1:pos:R:3 pbc="T T T"
Mo 0.000 0.000 0.000
O 4.217 15.200 5.350
O 0.521 1.879 0.661
La 2.369 8.539 3.006
```

Calculated values
M_tot = 0.06 μB/cell
density of states at the Fermi level = 0.6 states/eV/f.u.



S.
Crystalline LaMoO2 at its relaxed geometry. Source: Alexandria, functional PBE+U.

The structure in extended XYZ format:
```
8
Lattice="4.505 0.000 0.000 0.000 4.505 0.000 2.252 2.252 6.563" Properties=species:S:1:pos:R:3 pbc="T T T"
Mo 2.252 2.252 0.000
Mo 2.252 4.505 3.282
O 3.052 1.126 1.641
O 1.453 3.379 1.641
O 3.379 3.705 4.923
O 5.631 5.305 4.923
La 0.000 0.000 0.000
La 4.505 2.252 3.282
```

Calculated values
M_tot = 2.00 μB/cell
density of states at the Fermi level = 0.0 states/eV/f.u.



Which one sits at the top of the stability order? R does.



P.
Crystalline LaMoO5 at its relaxed geometry. Source: Alexandria, functional PBE+U.

The structure in extended XYZ format:
```
14
Lattice="4.563 0.000 0.000 0.000 7.793 0.000 0.000 0.000 7.793" Properties=species:S:1:pos:R:3 pbc="T T T"
La 1.020 3.896 0.000
La 3.543 0.000 3.896
Mo 2.281 0.000 0.000
Mo 2.281 3.896 3.896
O 1.258 1.475 0.000
O 1.258 3.896 2.421
O 1.243 0.000 3.896
O 3.320 3.896 0.000
O 1.258 3.896 5.372
O 1.258 6.317 0.000
O 3.305 5.372 3.896
O 3.305 0.000 6.317
O 3.305 0.000 1.475
O 3.305 2.421 3.896
```

Calculated values
M_tot = 2.08 μB/cell
density of states at the Fermi level = 6.0 states/eV/f.u.



Q.
Crystalline LaMoO5 at its relaxed geometry. Source: Alexandria, functional PBE+U.

The structure in extended XYZ format:
```
28
Lattice="-1.458 -12.840 2.682 1.610 0.899 5.179 -5.331 1.572 4.631" Properties=species:S:1:pos:R:3 pbc="T T T"
La -0.913 -6.327 5.921
La -4.264 -4.042 6.572
La -1.060 -0.082 3.264
La -4.118 -10.287 9.228
Mo -0.532 -10.052 7.747
Mo -4.646 -0.317 4.745
Mo -2.315 -4.049 3.045
Mo -2.863 -6.320 9.447
O -3.260 -11.000 7.144
O -1.918 0.631 5.348
O 0.170 -5.243 4.095
O -5.348 -5.126 8.397
O 0.072 -4.297 7.027
O -5.250 -6.072 5.465
O -3.093 -11.335 4.084
O -2.085 0.967 8.408
O -0.485 -11.360 6.443
O -4.693 0.991 6.049
O -2.583 -4.691 4.756
O -2.595 -5.678 7.736
O -1.060 -8.489 7.083
O -4.118 -1.880 5.410
O -1.434 -2.503 3.060
O -3.744 -7.866 9.432
O 0.619 -1.215 4.782
O -5.797 -9.154 7.710
O -2.863 -7.578 4.901
O -2.315 -2.791 7.591
```

Calculated values
M_tot = 0.13 μB/cell
density of states at the Fermi level = 0.0 states/eV/f.u.



Which one sits at the top of the stability order? Q does.



P.
Crystalline La2Mo2O7 at its relaxed geometry. Source: Alexandria, functional PBE+U.

The structure in extended XYZ format:
```
22
Lattice="-6.729 -3.225 1.315 -2.176 -6.015 -4.061 -0.354 -6.837 3.247" Properties=species:S:1:pos:R:3 pbc="T T T"
La -5.787 -10.048 0.313
La -5.610 -6.630 -1.311
La -4.699 -7.041 2.343
La -2.423 -8.435 -0.345
Mo -4.522 -3.622 0.720
Mo -2.246 -5.017 -1.968
Mo -1.335 -5.428 1.686
Mo -1.157 -2.010 0.063
O -2.115 -7.332 2.013
O -3.187 -6.848 -2.286
O -3.325 -4.853 1.901
O -4.076 -4.514 -1.109
O -6.945 -12.058 0.375
O -5.864 -5.208 0.876
O -3.179 -2.037 0.563
O -1.450 -6.001 -0.313
O -0.554 -3.524 1.359
O -1.304 -3.186 -1.651
O -3.395 -10.869 -0.376
O -4.630 -8.038 0.250
O -6.073 -9.229 2.786
O -7.144 -8.745 -1.513
```

Calculated values
M_tot = 8.00 μB/cell
density of states at the Fermi level = 2.2 states/eV/f.u.



Q.
Crystalline La2Mo2O7 at its relaxed geometry. Source: Alexandria, functional PBE+U.

The structure in extended XYZ format:
```
22
Lattice="-0.841 -1.312 3.692 4.837 -3.720 -0.219 7.093 8.941 4.794" Properties=species:S:1:pos:R:3 pbc="T T T"
La 8.861 5.329 3.913
La 3.069 -0.107 0.661
La 4.695 4.861 4.972
La 6.393 -0.951 3.294
Mo 7.230 2.379 2.493
Mo 4.700 2.842 2.081
Mo 7.207 7.133 6.352
Mo 3.882 -3.223 1.914
O 4.011 -2.480 0.033
O 7.919 7.701 4.542
O 4.122 2.444 3.983
O 6.966 1.466 4.284
O 5.684 1.132 1.698
O 6.246 4.090 2.877
O 0.969 -0.029 2.385
O 10.120 3.939 5.881
O 1.998 -2.516 1.736
O 3.546 4.471 2.397
O 4.154 -1.265 2.672
O 9.094 3.114 3.179
O 2.836 2.108 1.395
O 6.934 5.175 5.594
```

Calculated values
M_tot = 4.00 μB/cell
density of states at the Fermi level = 0.2 states/eV/f.u.



Which one sits at the top of the stability order? P does.